# 1
# LiNi3Br

A crystal of LiNi3Br relaxed with PBEsol (SCAN, Alexandria).

Space group ... No. 221
Crystal system ... cubic
Uncorrected energy ... -12.96 eV/atom

Lattice parameters (Å, degrees): 4.032 4.032 4.032 90.00 90.00 90.00
Sites, in units of the cell vectors:
Ni 0.000 0.000 0.500
Ni 0.000 0.500 0.000
Ni 0.500 0.000 0.000
Li 0.000 0.000 0.000
Br 0.500 0.500 0.500



# 2
# LiBe2Re

A crystal of LiBe2Re relaxed with PBEsol (SCAN, Alexandria).

ΔE_f ... 0.09 eV/atom
Space group ... No. 10
Crystal system ... monoclinic
Energy relative to the lowest polymorph listed for this composition ... 0.000 eV per atom
Uncorrected energy ... -20.46 eV/atom

Lattice parameters (Å, degrees): 2.565 3.245 5.486 90.00 90.70 90.00
Sites, in units of the cell vectors:
Li 0.500 0.500 0.000
Be 0.004 0.000 0.727
Be 0.996 0.000 0.273
Re 0.500 0.500 0.500



# 3
# MgTaIr2

A crystal of MgTaIr2 relaxed with PBEsol (SCAN, Alexandria).

ΔE_f ... -0.72 eV/atom
Space group ... No. 47
Crystal system ... orthorhombic
Energy relative to the lowest polymorph listed for this composition ... 0.063 eV per atom
Uncorrected energy ... -54.16 eV/atom

Lattice parameters (Å, degrees): 2.956 3.466 5.998 90.00 90.00 90.00
Sites, in units of the cell vectors:
Ir 0.000 0.000 0.747
Ir 0.000 0.000 0.253
Mg 0.500 0.500 0.000
Ta 0.500 0.500 0.500



# 4
# ReRhI2O

A crystal of ReRhI2O relaxed with PBEsol (SCAN, Alexandria).

Space group ... No. 123
Crystal system ... tetragonal
Uncorrected energy ... -36.48 eV/atom

Lattice parameters (Å, degrees): 3.672 5.355 5.355 90.00 90.00 90.00
Sites, in units of the cell vectors:
Re 0.000 0.000 0.000
I 0.000 0.000 0.500
I 0.000 0.500 0.000
O 0.500 0.000 0.000
Rh 0.500 0.500 0.500



# 5
# HgSb2As

A crystal of HgSb2As relaxed with PBEsol (SCAN, Alexandria).

Space group ... No. 47
Crystal system ... orthorhombic
Energy relative to the lowest polymorph listed for this composition ... 0.251 eV per atom
Uncorrected energy ... -40.37 eV/atom

Lattice parameters (Å, degrees): 3.970 4.414 5.455 90.00 90.00 90.00
Sites, in units of the cell vectors:
Sb 0.000 0.000 0.000
Sb 0.500 0.000 0.500
As 0.500 0.500 0.000
Hg 0.000 0.500 0.500



# 6
# YCo4Si

A crystal of YCo4Si relaxed with PBEsol (SCAN, Alexandria).

Space group ... No. 216
Crystal system ... cubic
Uncorrected energy ... -17.87 eV/atom

Lattice parameters (Å, degrees): 4.771 4.771 4.771 60.00 60.00 60.00
Sites, in units of the cell vectors:
Y 0.000 0.000 0.000
Co 0.871 0.376 0.376
Co 0.376 0.871 0.376
Co 0.376 0.376 0.871
Co 0.376 0.376 0.376
Si 0.750 0.750 0.750



M_tot for the records above, in order: 1.8, 0.0, 0.0, 1.9, 0.0, 7.0 μB/f.u.
Density for the records above, in order: 6659, 7679, 15940, 8814, 9015, 7629 kg/m³